Entry i
# Pr2Ho, optimized geometry, DFT GGA-PBE
# DOS(E_F): 1.88 states/eV/atom
data_Pr2Ho
_cell_length_a 6.717
_cell_length_b 6.717
_cell_length_c 6.717
_cell_angle_alpha 60.00
_cell_angle_beta 60.00
_cell_angle_gamma 60.00
_symmetry_space_group_name_H-M 'P 1'
_symmetry_Int_Tables_number 1
loop_
_symmetry_equiv_pos_as_xyz
'x,y,z'
loop_
_atom_site_label
_atom_site_fract_x
_atom_site_fract_y
_atom_site_fract_z
_atom_site_occupancy
Pr1 0.625 0.125 0.625 1
Pr2 0.625 0.625 0.125 1
Pr3 0.625 0.625 0.625 1
Pr4 0.125 0.625 0.625 1
Ho1 0.250 0.250 0.250 1
Ho2 0.000 0.000 0.000 1

Entry ii
# Pr2Ho, optimized geometry, DFT GGA-PBE
# DOS(E_F): 1.27 states/eV/atom
data_Pr2Ho
_cell_length_a 3.667
_cell_length_b 3.667
_cell_length_c 35.374
_cell_angle_alpha 90.00
_cell_angle_beta 90.00
_cell_angle_gamma 120.00
_symmetry_space_group_name_H-M 'P 1'
_symmetry_Int_Tables_number 1
loop_
_symmetry_equiv_pos_as_xyz
'x,y,z'
loop_
_atom_site_label
_atom_site_fract_x
_atom_site_fract_y
_atom_site_fract_z
_atom_site_occupancy
Pr1 0.000 0.000 0.246 1
Pr2 0.333 0.667 0.668 1
Pr3 0.333 0.667 0.332 1
Pr4 0.000 0.000 0.582 1
Pr5 0.000 0.000 0.082 1
Pr6 0.000 0.000 0.754 1
Pr7 0.000 0.000 0.418 1
Pr8 0.000 0.000 0.918 1
Ho1 0.667 0.333 0.500 1
Ho2 0.667 0.333 0.164 1
Ho3 0.667 0.333 0.836 1
Ho4 0.333 0.667 0.000 1

Entry iii
# Pr2Ho, optimized geometry, DFT GGA-PBE
# DOS(E_F): 1.60 states/eV/atom
data_Pr2Ho
_cell_length_a 3.662
_cell_length_b 3.662
_cell_length_c 8.153
_cell_angle_alpha 102.98
_cell_angle_beta 102.98
_cell_angle_gamma 90.00
_symmetry_space_group_name_H-M 'P 1'
_symmetry_Int_Tables_number 1
loop_
_symmetry_equiv_pos_as_xyz
'x,y,z'
loop_
_atom_site_label
_atom_site_fract_x
_atom_site_fract_y
_atom_site_fract_z
_atom_site_occupancy
Ho1 0.000 0.000 0.000 1
Pr1 0.664 0.664 0.328 1
Pr2 0.336 0.336 0.672 1

In terms of stability, entry ii leads; the second structure lies 23 meV per atom higher.

Entry i
# Pr7Ho5, optimized geometry, DFT GGA-PBE
# DOS(E_F): 1.33 states/eV/atom
data_Pr7Ho5
_cell_length_a 3.661
_cell_length_b 9.632
_cell_length_c 12.337
_cell_angle_alpha 73.73
_cell_angle_beta 81.47
_cell_angle_gamma 79.04
_symmetry_space_group_name_H-M 'P 1'
_symmetry_Int_Tables_number 1
loop_
_symmetry_equiv_pos_as_xyz
'x,y,z'
loop_
_atom_site_label
_atom_site_fract_x
_atom_site_fract_y
_atom_site_fract_z
_atom_site_occupancy
Pr1 0.029 0.693 0.250 1
Pr2 0.668 0.669 0.996 1
Pr3 0.360 0.027 0.252 1
Pr4 0.332 0.331 0.004 1
Pr5 0.640 0.973 0.748 1
Pr6 0.971 0.307 0.750 1
Pr7 0.500 0.500 0.500 1
Ho1 0.831 0.835 0.503 1
Ho2 0.306 0.641 0.747 1
Ho3 0.694 0.359 0.253 1
Ho4 0.000 0.000 0.000 1
Ho5 0.169 0.165 0.497 1

Entry ii
# Pr7Ho5, optimized geometry, DFT GGA-PBE
# DOS(E_F): 1.57 states/eV/atom
data_Pr7Ho5
_cell_length_a 5.855
_cell_length_b 5.702
_cell_length_c 14.888
_cell_angle_alpha 101.79
_cell_angle_beta 90.00
_cell_angle_gamma 120.89
_symmetry_space_group_name_H-M 'P 1'
_symmetry_Int_Tables_number 1
loop_
_symmetry_equiv_pos_as_xyz
'x,y,z'
loop_
_atom_site_label
_atom_site_fract_x
_atom_site_fract_y
_atom_site_fract_z
_atom_site_occupancy
Pr1 0.317 0.634 0.918 1
Pr2 0.042 0.085 0.213 1
Pr3 0.958 0.915 0.787 1
Pr4 0.238 0.476 0.670 1
Pr5 0.500 0.000 0.500 1
Pr6 0.762 0.524 0.330 1
Pr7 0.683 0.366 0.082 1
Ho1 0.141 0.281 0.440 1
Ho2 0.859 0.719 0.560 1
Ho3 0.622 0.244 0.800 1
Ho4 0.378 0.756 0.200 1
Ho5 0.000 0.000 0.000 1

In terms of stability, entry i leads; the second structure lies 147 meV per atom higher.

Entry i
# Pr3Ho7, optimized geometry, DFT GGA-PBE
# DOS(E_F): 1.56 states/eV/atom
data_Pr3Ho7
_cell_length_a 6.514
_cell_length_b 10.796
_cell_length_c 10.796
_cell_angle_alpha 120.00
_cell_angle_beta 90.00
_cell_angle_gamma 90.00
_symmetry_space_group_name_H-M 'P 1'
_symmetry_Int_Tables_number 1
loop_
_symmetry_equiv_pos_as_xyz
'x,y,z'
loop_
_atom_site_label
_atom_site_fract_x
_atom_site_fract_y
_atom_site_fract_z
_atom_site_occupancy
Ho1 0.210 0.471 0.529 1
Ho2 0.520 0.333 0.667 1
Ho3 0.886 0.242 0.121 1
Ho4 0.886 0.879 0.121 1
Ho5 0.210 0.471 0.942 1
Ho6 0.386 0.758 0.879 1
Ho7 0.386 0.121 0.242 1
Ho8 0.386 0.121 0.879 1
Ho9 0.210 0.058 0.529 1
Ho10 0.886 0.879 0.758 1
Ho11 0.020 0.667 0.333 1
Ho12 0.710 0.942 0.471 1
Ho13 0.710 0.529 0.058 1
Ho14 0.710 0.529 0.471 1
Pr1 0.367 0.405 0.203 1
Pr2 0.367 0.797 0.203 1
Pr3 0.367 0.797 0.595 1
Pr4 0.867 0.595 0.797 1
Pr5 0.867 0.203 0.797 1
Pr6 0.867 0.203 0.405 1

Entry ii
# Pr3Ho7, optimized geometry, DFT GGA-PBE
# DOS(E_F): 1.41 states/eV/atom
data_Pr3Ho7
_cell_length_a 5.071
_cell_length_b 7.153
_cell_length_c 10.714
_cell_angle_alpha 119.73
_cell_angle_beta 103.69
_cell_angle_gamma 90.00
_symmetry_space_group_name_H-M 'P 1'
_symmetry_Int_Tables_number 1
loop_
_symmetry_equiv_pos_as_xyz
'x,y,z'
loop_
_atom_site_label
_atom_site_fract_x
_atom_site_fract_y
_atom_site_fract_z
_atom_site_occupancy
Ho1 0.600 0.399 0.200 1
Ho2 0.401 0.102 0.802 1
Ho3 0.800 0.700 0.600 1
Ho4 0.400 0.601 0.800 1
Ho5 0.599 0.898 0.198 1
Ho6 0.200 0.300 0.400 1
Ho7 0.000 0.500 0.000 1
Pr1 0.801 0.204 0.603 1
Pr2 0.199 0.796 0.397 1
Pr3 0.000 0.000 0.000 1

In terms of stability, entry ii leads; the second structure lies 155 meV per atom higher.

Entry i
# PrHo, optimized geometry, DFT GGA-PBE
# DOS(E_F): 1.80 states/eV/atom
data_PrHo
_cell_length_a 3.659
_cell_length_b 5.852
_cell_length_c 6.307
_cell_angle_alpha 90.00
_cell_angle_beta 90.05
_cell_angle_gamma 90.00
_symmetry_space_group_name_H-M 'P 1'
_symmetry_Int_Tables_number 1
loop_
_symmetry_equiv_pos_as_xyz
'x,y,z'
loop_
_atom_site_label
_atom_site_fract_x
_atom_site_fract_y
_atom_site_fract_z
_atom_site_occupancy
Ho1 0.249 0.250 0.419 1
Ho2 0.751 0.750 0.581 1
Pr1 0.251 0.750 0.081 1
Pr2 0.749 0.250 0.919 1

Entry ii
# PrHo, optimized geometry, DFT GGA-PBE
# DOS(E_F): 1.66 states/eV/atom
data_PrHo
_cell_length_a 3.644
_cell_length_b 3.644
_cell_length_c 11.902
_cell_angle_alpha 89.99
_cell_angle_beta 98.82
_cell_angle_gamma 120.01
_symmetry_space_group_name_H-M 'P 1'
_symmetry_Int_Tables_number 1
loop_
_symmetry_equiv_pos_as_xyz
'x,y,z'
loop_
_atom_site_label
_atom_site_fract_x
_atom_site_fract_y
_atom_site_fract_z
_atom_site_occupancy
Ho1 0.746 0.873 0.619 1
Ho2 0.254 0.127 0.381 1
Pr1 0.421 0.710 0.131 1
Pr2 0.579 0.290 0.869 1

In terms of stability, entry ii leads; the second structure lies 22 meV per atom higher.

Entry i
# Pr5Ho2, optimized geometry, DFT GGA-PBE
# DOS(E_F): 1.62 states/eV/atom
data_Pr5Ho2
_cell_length_a 3.578
_cell_length_b 8.759
_cell_length_c 8.429
_cell_angle_alpha 84.40
_cell_angle_beta 77.75
_cell_angle_gamma 78.22
_symmetry_space_group_name_H-M 'P 1'
_symmetry_Int_Tables_number 1
loop_
_symmetry_equiv_pos_as_xyz
'x,y,z'
loop_
_atom_site_label
_atom_site_fract_x
_atom_site_fract_y
_atom_site_fract_z
_atom_site_occupancy
Pr1 0.371 0.362 0.896 1
Pr2 0.000 0.000 0.000 1
Pr3 0.838 0.670 0.653 1
Pr4 0.629 0.638 0.104 1
Pr5 0.162 0.330 0.347 1
Ho1 0.361 0.914 0.364 1
Ho2 0.639 0.086 0.636 1

Entry ii
# Pr5Ho2, optimized geometry, DFT GGA-PBE
# DOS(E_F): 2.34 states/eV/atom
data_Pr5Ho2
_cell_length_a 5.837
_cell_length_b 5.837
_cell_length_c 8.908
_cell_angle_alpha 70.87
_cell_angle_beta 70.87
_cell_angle_gamma 60.00
_symmetry_space_group_name_H-M 'P 1'
_symmetry_Int_Tables_number 1
loop_
_symmetry_equiv_pos_as_xyz
'x,y,z'
loop_
_atom_site_label
_atom_site_fract_x
_atom_site_fract_y
_atom_site_fract_z
_atom_site_occupancy
Pr1 0.068 0.068 0.796 1
Pr2 0.932 0.932 0.204 1
Pr3 0.792 0.792 0.623 1
Pr4 0.208 0.208 0.377 1
Pr5 0.500 0.500 0.500 1
Ho1 0.652 0.652 0.043 1
Ho2 0.348 0.348 0.957 1

In terms of stability, entry ii leads; the second structure lies 50 meV per atom higher.